## Mg2ZnBr (GGA-PBEsol)

Data for Mg2ZnBr after structural relaxation.

abc: 5.151 5.151 5.151
angles: 60.00 60.00 60.00
Element x y z (fractional)
1 Br 0.500 0.500 0.500
2 Mg 0.750 0.750 0.750
3 Mg 0.000 0.000 0.000
4 Zn 0.250 0.250 0.250

Computed properties:
crystal system: cubic
D(E_F): 0.757 states/eV/atom

***

## MgZrZnBr2 (GGA-PBEsol)

Data for MgZrZnBr2 after structural relaxation.

abc: 5.165 5.165 5.541
angles: 90.00 90.00 90.00
Element x y z (fractional)
1 Zr 0.000 0.000 0.000
2 Mg 0.500 0.500 0.500
3 Br 0.500 0.000 0.000
4 Br 0.000 0.500 0.000
5 Zn 0.000 0.000 0.500

Computed properties:
crystal system: tetragonal
D(E_F): 0.640 states/eV/atom

***

## MgZrBr4 (GGA-PBEsol)

Data for MgZrBr4 after structural relaxation.

abc: 6.053 6.053 6.053
angles: 60.00 60.00 60.00
Element x y z (fractional)
1 Br 0.876 0.375 0.375
2 Zr 0.000 0.000 0.000
3 Br 0.375 0.375 0.876
4 Br 0.375 0.375 0.375
5 Mg 0.750 0.750 0.750
6 Br 0.375 0.876 0.375

Computed properties:
crystal system: cubic
D(E_F): 1.762 states/eV/atom

***

## MnBr2 (GGA-PBEsol)

Data for MnBr2 after structural relaxation.

abc: 7.633 7.633 7.633
angles: 60.00 60.00 60.00
Element x y z (fractional)
1 Br 0.379 0.864 0.379
2 Mn 0.625 0.625 0.125
3 Br 0.871 0.386 0.871
4 Br 0.386 0.871 0.871
5 Br 0.864 0.379 0.379
6 Br 0.379 0.379 0.379
7 Br 0.379 0.379 0.864
8 Mn 0.125 0.625 0.625
9 Mn 0.625 0.125 0.625
10 Mn 0.625 0.625 0.625
11 Br 0.871 0.871 0.386
12 Br 0.871 0.871 0.871

Computed properties:
crystal system: cubic

***

Number 1: E_form (uncorrected) 0.1356 eV/atom, spin magnetization 0.00 μB/cell, E_tot -1.59 eV per atom. Number 2: E_form (uncorrected) -0.1363 eV/atom, spin magnetization 0.00 μB/cell, E_tot -3.36 eV per atom. Number 3: E_form (uncorrected) 0.4646 eV/atom, spin magnetization 0.89 μB/cell, E_tot -2.58 eV per atom. Number 4: E_form (uncorrected) -0.6683 eV/atom, spin magnetization 20.00 μB/cell, E_tot -5.17 eV per atom.